# 1
# Mn2GaGe

A relaxed Mn2GaGe crystal (PBE, Alexandria).

a = 3.8884 Å, b = 2.9659 Å, c = 9.2535 Å
α = 90.00°, β = 90.00°, γ = 90.00°
Closest atoms and distances in Å follow each position.
Sites, in units of the cell vectors:
1 Ga 0.0000 0.0000 0.7403  7 Mn 2.55-2.64
2 Mn 0.0000 0.0000 0.0158  2 Mn 2.22
3 Ge 0.5000 0.0000 0.4088  7 Mn 2.54-2.64
4 Mn 0.5000 0.0000 0.1321  2 Mn 2.22
5 Ga 0.0000 0.5000 0.2403  7 Mn 2.55-2.64
6 Ge 0.5000 0.5000 0.9088  7 Mn 2.54-2.64
7 Mn 0.0000 0.5000 0.5158  2 Mn 2.22
8 Mn 0.5000 0.5000 0.6321  2 Mn 2.22

Computed properties:
As for the energy of formation: 0.103 eV/atom. As for the total energy: -51.1 eV for the cell shown.

# 2
# Mn2Ga2Ge

A relaxed Mn2Ga2Ge crystal (PBE, Alexandria).

a = 4.1511 Å, b = 4.1511 Å, c = 5.0736 Å
α = 89.95°, β = 89.95°, γ = 60.03°
Closest atoms and distances in Å follow each position.
Sites, in units of the cell vectors:
1 Ga 0.8332 0.3332 0.6161  5 Mn 2.52-2.77, 3 Ga 2.67
2 Ge 0.5000 0.0000 0.0000  6 Mn 2.46
3 Mn 0.1667 0.6667 0.8878  3 Ge 2.46, 2 Ga 2.52-2.56, 3 Mn 2.65
4 Ga 0.1668 0.6668 0.3839  5 Mn 2.52-2.77, 3 Ga 2.67
5 Mn 0.8333 0.3333 0.1122  3 Ge 2.46, 2 Ga 2.52-2.56, 3 Mn 2.65

Computed properties:
As for the energy of formation: -0.095 eV/atom. As for the total energy: -29.5 eV for the cell shown.

# 3
# Mn2GaGe

A relaxed Mn2GaGe crystal (PBE, Alexandria).

a = 3.7579 Å, b = 3.7579 Å, c = 5.4567 Å
α = 90.00°, β = 90.00°, γ = 120.00°
Closest atoms and distances in Å follow each position.
Sites, in units of the cell vectors:
1 Ga 0.3333 0.6667 0.5721  1 Ge 2.48, 6 Mn 2.60-2.74
2 Mn 0.0000 0.0000 0.8801  3 Mn 2.18
3 Ge 0.3333 0.6667 0.1180  1 Ga 2.48, 6 Mn 2.53-2.66
4 Mn 0.6667 0.3333 0.8358  3 Mn 2.18

Computed properties:
As for the energy of formation: 0.201 eV/atom. As for the total energy: -25.2 eV for the cell shown.